VASP calculation (PBE) on crystalline MnFeTc2H at its relaxed geometry.

energy relative to the lowest polymorph listed for this composition: 0.0000 eV/atom
ρ: 9.3 g/cm³

a = 3.867 Å, b = 3.867 Å, c = 3.675 Å
α = 90.00°, β = 90.00°, γ = 90.00°
Space group P4/mmm (No. 123)
Inequivalent atoms, fractional coordinates:
Mn (0.000, 0.000, 0.000) (multiplicity 1)
Fe (0.500, 0.500, 0.000) (multiplicity 1)
Tc (0.000, 0.500, 0.500) (multiplicity 2)
H (0.000, 0.000, 0.500) (multiplicity 1)

=====

VASP calculation (PBE) on crystalline LiCdOsRu2 at its relaxed geometry.

ρ: 7.4 g/cm³
energy relative to the elements: 1.18 eV per atom

a = 4.682 Å, b = 4.682 Å, c = 5.213 Å
α = 90.00°, β = 90.00°, γ = 90.00°
Space group P4/mmm (No. 123)
Inequivalent atoms, fractional coordinates:
Li (0.000, 0.000, 0.000) (multiplicity 1)
Cd (0.500, 0.500, 0.000) (multiplicity 1)
Os (0.500, 0.500, 0.500) (multiplicity 1)
Ru (0.000, 0.500, 0.500) (multiplicity 2)

=====

VASP calculation (PBE) on crystalline YHo2NpS4 at its relaxed geometry.

formation energy from raw total energies: -177.2 kJ per mole of atoms
ρ: 7.8 g/cm³

a = 6.757 Å, b = 3.893 Å, c = 6.759 Å
α = 90.00°, β = 109.31°, γ = 90.00°
Space group P2/m (No. 10)
Inequivalent atoms, fractional coordinates:
Y (0.000, 0.000, 0.000) (multiplicity 1)
Ho (0.000, 0.500, 0.500) (multiplicity 1)
Ho (0.500, 0.000, 0.500) (multiplicity 1)
Np (0.500, 0.500, 0.000) (multiplicity 1)
S (0.249, 0.000, 0.747) (multiplicity 2)
S (0.251, 0.500, 0.253) (multiplicity 2)